(1)
# CaLa2GaFe

An optimized crystal structure of CaLa2GaFe (PBE-GGA, the Alexandria database).

a b c (Å): 5.2948 5.2948 4.9468
angles (deg): 90.00 90.00 90.00
Last column: nearest neighbours and their distance in Å.
Element x y z (fractional)
Ca: 0.5000 0.5000 0.5000  8 La 3.62, 4 Ga 3.74
La: 0.5000 0.0000 0.0000  2 Fe 2.65
La: 0.0000 0.5000 0.0000  2 Fe 2.65
Fe: 0.0000 0.0000 0.0000  2 Ga 2.47, 4 La 2.65
Ga: 0.0000 0.0000 0.5000  2 Fe 2.47

Properties
Energy of formation: -0.092 eV per atom
Space group: P4/mmm, No. 123
Total magnetization: 0.0001 μB/atom

(2)
# IrOsRu3

An optimized crystal structure of IrOsRu3 (PBE-GGA, the Alexandria database).

a b c (Å): 4.6076 4.6076 4.6076
angles (deg): 90.00 90.00 90.00
Last column: nearest neighbours and their distance in Å.
Element x y z (fractional)
Ir: 0.5000 0.5000 0.5000  12 Ru 3.26
Ru: 0.0000 0.5000 0.0000  2 Os 2.30
Ru: 0.0000 0.0000 0.5000  2 Os 2.30
Ru: 0.5000 0.0000 0.0000  2 Os 2.30
Os: 0.0000 0.0000 0.0000  6 Ru 2.30

Properties
Energy of formation: 2.086 eV per atom
Space group: Pm-3m, No. 221
Total magnetization: 0.5162 μB/atom

(3)
# SiTc3

An optimized crystal structure of SiTc3 (PBE-GGA, the Alexandria database).

a b c (Å): 4.0023 2.8244 5.7619
angles (deg): 60.35 90.00 90.00
Last column: nearest neighbours and their distance in Å.
Element x y z (fractional)
Tc: 0.0000 0.5000 0.5000  2 Si 2.50, 8 Tc 2.78
Tc: 0.5000 0.2637 0.2381  2 Tc 2.38-2.62
Tc: 0.5000 0.7363 0.7619  2 Tc 2.38-2.62
Si: 0.0000 0.0000 0.0000  10 Tc 2.50-2.73

Properties
Space group: P2/m, No. 10
Total magnetization: 0.0000 μB/atom
Energy relative to the elements, uncorrected: -0.157 eV per atom

(4)
# LiCo3N

An optimized crystal structure of LiCo3N (PBE-GGA, the Alexandria database).

a b c (Å): 3.8699 3.8699 3.8699
angles (deg): 90.00 90.00 90.00
Last column: nearest neighbours and their distance in Å.
Element x y z (fractional)
Co: 0.5000 0.0000 0.0000  2 Li 1.93
Co: 0.0000 0.0000 0.5000  2 Li 1.93
Co: 0.0000 0.5000 0.0000  2 Li 1.93
Li: 0.0000 0.0000 0.0000  6 Co 1.93
N: 0.5000 0.5000 0.5000  12 Co 2.74

Properties
Space group: Pm-3m, No. 221
Total magnetization: 1.0766 μB/atom
Energy relative to the elements, uncorrected: 1.924 eV per atom

(5)
# CaSeS3

An optimized crystal structure of CaSeS3 (PBE-GGA, the Alexandria database).

a b c (Å): 5.1897 5.1897 5.1897
angles (deg): 90.00 90.00 90.00
Last column: nearest neighbours and their distance in Å.
Element x y z (fractional)
S: 0.0000 0.0000 0.5000  2 Ca 2.59
S: 0.0000 0.5000 0.0000  2 Ca 2.59
S: 0.5000 0.0000 0.0000  2 Ca 2.59
Se: 0.5000 0.5000 0.5000  12 S 3.67
Ca: 0.0000 0.0000 0.0000  6 S 2.59

Properties
Space group: Pm-3m, No. 221
Total magnetization: 0.0001 μB/atom
Energy relative to the elements, uncorrected: 0.570 eV per atom

(6)
# Zr5P

An optimized crystal structure of Zr5P (PBE-GGA, the Alexandria database).

a b c (Å): 5.7448 5.7448 5.0786
angles (deg): 90.00 90.00 120.00
Last column: nearest neighbours and their distance in Å.
Element x y z (fractional)
P: 0.0000 0.0000 0.0000  6 Zr 3.32
Zr: 0.6667 0.3333 0.0000  9 Zr 3.03-3.32, 3 P 3.32
Zr: 0.3333 0.6667 0.0000  9 Zr 3.03-3.32, 3 P 3.32
Zr: 0.5000 0.5000 0.5000  8 Zr 2.87-3.03
Zr: 0.5000 0.0000 0.5000  8 Zr 2.87-3.03
Zr: 0.0000 0.5000 0.5000  8 Zr 2.87-3.03

Properties
Energy of formation: 0.719 eV per atom
Space group: P6/mmm, No. 191
Total magnetization: 0.0000 μB/atom